Material: TaIrPt3
Method: DFT, SCAN
State: single point on PBEsol structure

Cell: 4.703 4.703 4.703 Å, 90.00 90.00 90.00°
Positions (direct):
Pt 0.000 0.000 0.500
Ir 0.500 0.500 0.500
Pt 0.000 0.500 0.000
Ta 0.000 0.000 0.000
Pt 0.500 0.000 0.000

Output
DFT total energy in Ry/atom: -4.999
Theoretical density in g/cm3: 15.30
Space-group type: Pm-3m
Formation energy from the elements in kJ/mol of formula units: 788